Record 1
Here is an optimized crystal structure of Ca2MoPb from Alexandria via LeMat-Bulk. Energies are from GGA-PBE.

Calculated values
The density of states at the Fermi level is 5.96 states/eV per cell. Its total energy is -3.92 eV per atom.

Cell: 8.4438 8.4438 6.6728 Å, 50.75 50.75 90.00°
Closest atoms and distances in Å follow each position.
Fractional positions:
Ca 0.1461 0.6250 0.2500  2 Mo 2.96, 2 Ca 3.00, 2 Pb 3.20
Pb 0.7500 0.2500 0.5000  2 Mo 2.98, 4 Ca 3.20
Mo 0.5000 0.5000 0.0000  4 Ca 2.96, 2 Pb 2.98
Ca 0.3750 0.3961 0.7500  2 Mo 2.96, 2 Ca 3.00, 2 Pb 3.20
Mo 0.2500 0.7500 0.5000  4 Ca 2.96, 2 Pb 2.98
Pb 0.0000 0.0000 0.0000  2 Mo 2.98, 4 Ca 3.20
Ca 0.8750 0.8539 0.7500  2 Mo 2.96, 2 Ca 3.00, 2 Pb 3.20
Ca 0.6039 0.1250 0.2500  2 Mo 2.96, 2 Ca 3.00, 2 Pb 3.20

=====

Record 2
Here is an optimized crystal structure of Ca2MoPb from Alexandria via LeMat-Bulk. Energies are from GGA-PBE.

Calculated values
The density of states at the Fermi level is 3.95 states/eV per cell. Its total energy is -4.21 eV per atom.

Cell: 5.7633 5.7633 4.6839 Å, 66.01 66.01 47.92°
Closest atoms and distances in Å follow each position.
Fractional positions:
Ca 0.0001 0.0001 0.9998  4 Ca 3.31, 4 Mo 3.32, 4 Pb 3.32
Ca 0.4999 0.4999 0.5002  4 Ca 3.31, 4 Mo 3.32, 4 Pb 3.32
Pb 0.2500 0.2500 0.2500  4 Mo 3.31, 8 Ca 3.32
Mo 0.7500 0.7500 0.7500  4 Pb 3.31, 8 Ca 3.32

=====

The calculation returns the following calculated volume values, one per record and in order: 212 103 Å³ per cell.